No. 1
{
  "formula": "CsAlIr",
  "functional": "GGA-PBE",
  "state": "optimized geometry",
  "mass_density_g_cm3": 6.2,
  "total_magnetization_mub_per_cell": 1.0,
  "e_above_lowest_polymorph_mev_per_atom": 1025,
  "spacegroup": "F-43m",
  "lattice": [[0.0000, 3.6132, 3.6132], [3.6132, 0.0000, 3.6132], [3.6132, 3.6132, 0.0000]],
  "species": ["Al", "Ir", "Cs"],
  "frac_coords": [[0.2500, 0.2500, 0.2500], [0.7500, 0.7500, 0.7500], [0.0000, 0.0000, 0.0000]]
}

***

No. 2
{
  "formula": "CsAlIr2O8",
  "functional": "GGA-PBE",
  "state": "optimized geometry",
  "mass_density_g_cm3": 5.5,
  "total_magnetization_mub_per_cell": 0.0,
  "final_energy_ev_per_atom": -6.11,
  "spacegroup": "P-3m1",
  "lattice": [[5.5303, 0.0000, 0.0000], [-2.7652, 4.7894, 0.0000], [0.0000, 0.0000, 7.7286]],
  "species": ["O", "O", "O", "O", "O", "O", "O", "O", "Ir", "Ir", "Cs", "Al"],
  "frac_coords": [[0.3089, 0.1545, 0.3535], [0.3333, 0.6667, 0.9608], [0.6667, 0.3333, 0.0392], [0.8455, 0.1545, 0.3535], [0.1545, 0.3089, 0.6465], [0.8455, 0.6911, 0.3535], [0.1545, 0.8455, 0.6465], [0.6911, 0.8455, 0.6465], [0.3333, 0.6667, 0.7298], [0.6667, 0.3333, 0.2702], [0.0000, 0.0000, 0.0000], [0.0000, 0.0000, 0.5000]]
}

***

No. 3
{
  "formula": "CsAlSb2Ir",
  "functional": "GGA-PBE",
  "state": "optimized geometry",
  "mass_density_g_cm3": 7.1,
  "total_magnetization_mub_per_cell": 0.0,
  "final_energy_ev_per_atom": -4.61,
  "spacegroup": "I-4m2",
  "lattice": [[-1.9364, 1.9364, 9.3519], [1.9364, -1.9364, 9.3519], [1.9364, 1.9364, -9.3519]],
  "species": ["Sb", "Sb", "Cs", "Al", "Ir"],
  "frac_coords": [[0.8958, 0.3958, 0.5000], [0.6042, 0.1042, 0.5000], [0.2500, 0.7500, 0.5000], [0.0000, 0.0000, 0.0000], [0.5000, 0.5000, 0.0000]]
}

***

No. 4
{
  "formula": "CsLuAlSe3",
  "functional": "GGA-PBE",
  "state": "optimized geometry",
  "mass_density_g_cm3": 5.0,
  "total_magnetization_mub_per_cell": 0.6,
  "final_energy_ev_per_atom": -4.51,
  "spacegroup": "Cmcm",
  "lattice": [[7.8799, 2.4280, 0.6338], [-8.0510, 1.8889, -0.0615], [-0.4191, -1.4375, 10.7168]],
  "species": ["Al", "Al", "Se", "Se", "Se", "Se", "Se", "Se", "Lu", "Lu", "Cs", "Cs"],
  "frac_coords": [[0.9733, 0.0267, 0.2500], [0.0267, 0.9733, 0.7500], [0.4484, 0.5516, 0.7500], [0.1135, 0.8865, 0.9375], [0.8865, 0.1135, 0.0625], [0.8865, 0.1135, 0.4375], [0.5516, 0.4484, 0.2500], [0.1135, 0.8865, 0.5625], [0.5000, 0.5000, 0.5000], [0.5000, 0.5000, 0.0000], [0.7594, 0.2406, 0.7500], [0.2406, 0.7594, 0.2500]]
}